No. 1
! FeAg2Ge (PBE, relaxed); values from VASP
! DOS at the Fermi energy = 3.37 states/eV/f.u.
! Energy relative to the elements = 0.46 eV/atom
! ρ = 8.21 g cm⁻³
! V = 17.4 Å³ per atom
&SYSTEM
  ibrav = 0, nat = 8, ntyp = 3
/
ATOMIC_SPECIES
Ge 72.64 Ge.upf
Fe 55.84 Fe.upf
Ag 107.87 Ag.upf
CELL_PARAMETERS angstrom
-1.748 2.863 -1.708
-3.032 -0.564 2.158
1.228 7.359 6.931
ATOMIC_POSITIONS crystal
Ge 0.000 0.000 0.000
Ge 0.750 0.250 0.500
Fe 0.500 0.500 0.000
Fe 0.250 0.750 0.500
Ag 0.624 0.125 0.250
Ag 0.126 0.625 0.250
Ag 0.375 0.376 0.750
Ag 0.875 0.874 0.750

=====

No. 2
! KMg3Sc (PBE, relaxed); values from VASP
! E above lowest polymorph = 0.0 meV/atom
! DOS at the Fermi energy = 7.11 states/eV/f.u.
! Energy relative to the elements = 0.61 eV/atom
! ρ = 1.29 g cm⁻³
! V = 40.5 Å³ per atom
&SYSTEM
  ibrav = 0, nat = 5, ntyp = 3
/
ATOMIC_SPECIES
Sc 44.96 Sc.upf
K 39.10 K.upf
Mg 24.30 Mg.upf
CELL_PARAMETERS angstrom
5.873 0.000 0.000
0.000 5.873 0.000
0.000 0.000 5.873
ATOMIC_POSITIONS crystal
Sc 0.000 0.000 0.000
K 0.500 0.500 0.500
Mg 0.000 0.500 0.000
Mg 0.000 0.000 0.500
Mg 0.500 0.000 0.000

=====

No. 3
! Ho2NiGe3Pt4 (PBE, relaxed); values from VASP
! DOS at the Fermi energy = 8.09 states/eV/f.u.
! Energy relative to the elements = -0.81 eV/atom
! ρ = 12.67 g cm⁻³
! V = 18.2 Å³ per atom
&SYSTEM
  ibrav = 0, nat = 10, ntyp = 4
/
ATOMIC_SPECIES
Ho 164.93 Ho.upf
Ni 58.69 Ni.upf
Ge 72.64 Ge.upf
Pt 195.08 Pt.upf
CELL_PARAMETERS angstrom
-0.405 -3.483 2.174
-0.851 -2.066 -3.469
10.393 -2.041 -1.334
ATOMIC_POSITIONS crystal
Ho 0.500 0.000 0.262
Ho 0.000 0.500 0.738
Ni 0.500 0.500 0.500
Ge 0.000 0.000 0.500
Ge 0.500 0.000 0.862
Ge 0.000 0.500 0.138
Pt 0.500 0.500 0.000
Pt 0.000 0.000 0.000
Pt 0.500 0.000 0.637
Pt 0.000 0.500 0.363

=====

No. 4
! NdThTlIr (PBE, relaxed); values from VASP
! DOS at the Fermi energy = 3.73 states/eV/f.u.
! Energy relative to the elements = -0.53 eV/atom
! ρ = 10.59 g cm⁻³
! V = 30.3 Å³ per atom
&SYSTEM
  ibrav = 0, nat = 4, ntyp = 4
/
ATOMIC_SPECIES
Nd 144.24 Nd.upf
Th 232.04 Th.upf
Tl 204.38 Tl.upf
Ir 192.22 Ir.upf
CELL_PARAMETERS angstrom
-1.125 2.968 2.607
-2.375 -3.316 -0.488
5.616 -4.701 4.550
ATOMIC_POSITIONS crystal
Nd 0.506 0.151 0.672
Th 0.095 0.945 0.056
Tl 0.967 0.382 0.365
Ir 0.309 0.552 0.877

=====

No. 5
! PrErGaPd (PBE, relaxed); values from VASP
! E above lowest polymorph = 49.5 meV/atom
! DOS at the Fermi energy = 3.48 states/eV/f.u.
! Energy relative to the elements = -0.64 eV/atom
! ρ = 8.52 g cm⁻³
! V = 23.6 Å³ per atom
&SYSTEM
  ibrav = 0, nat = 4, ntyp = 4
/
ATOMIC_SPECIES
Pr 140.91 Pr.upf
Ga 69.72 Ga.upf
Pd 106.42 Pd.upf
Er 167.26 Er.upf
CELL_PARAMETERS angstrom
-4.370 2.345 -1.236
-4.469 -1.957 1.523
-2.734 2.375 3.606
ATOMIC_POSITIONS crystal
Pr 0.500 0.500 0.500
Ga 0.250 0.250 0.250
Pd 0.750 0.750 0.750
Er 0.000 0.000 0.000

=====

No. 6
! GeTeH2S4 (PBE, relaxed); values from VASP
! DOS at the Fermi energy = 1.49 states/eV/f.u.
! Uncorrected energy = -3.71 eV/atom
! ρ = 3.77 g cm⁻³
! V = 18.2 Å³ per atom
&SYSTEM
  ibrav = 0, nat = 16, ntyp = 4
/
ATOMIC_SPECIES
Ge 72.64 Ge.upf
Te 127.60 Te.upf
H 1.01 H.upf
S 32.06 S.upf
CELL_PARAMETERS angstrom
7.127 -1.161 -0.051
-1.166 7.126 -0.051
-2.976 -2.978 5.943
ATOMIC_POSITIONS crystal
Ge 0.500 0.500 0.500
Ge 0.000 0.000 0.000
Te 0.000 0.500 0.000
Te 0.000 0.500 0.500
H 0.500 0.000 0.000
H 0.500 0.000 0.500
H 0.000 0.000 0.500
H 0.500 0.500 0.000
S 0.274 0.807 0.957
S 0.693 0.226 0.543
S 0.307 0.774 0.457
S 0.726 0.193 0.043
S 0.696 0.653 0.961
S 0.847 0.804 0.539
S 0.153 0.196 0.461
S 0.304 0.347 0.039

=====

No. 7
! LaAgOs3 (PBE, relaxed); values from VASP
! E above lowest polymorph = 0.0 meV/atom
! DOS at the Fermi energy = 12.22 states/eV/f.u.
! Energy relative to the elements = 2.07 eV/atom
! ρ = 12.00 g cm⁻³
! V = 22.6 Å³ per atom
&SYSTEM
  ibrav = 0, nat = 5, ntyp = 3
/
ATOMIC_SPECIES
Os 190.23 Os.upf
Ag 107.87 Ag.upf
La 138.91 La.upf
CELL_PARAMETERS angstrom
4.836 0.000 0.000
0.000 4.836 0.000
0.000 0.000 4.836
ATOMIC_POSITIONS crystal
Os 0.000 0.500 0.000
Os 0.000 0.000 0.500
Os 0.500 0.000 0.000
Ag 0.000 0.000 0.000
La 0.500 0.500 0.500

=====

No. 8
! Pm6Y4Er (PBE, relaxed); values from VASP
! E above lowest polymorph = 0.0 meV/atom
! DOS at the Fermi energy = 19.18 states/eV/f.u.
! Energy relative to the elements = 0.12 eV/atom
! ρ = 6.28 g cm⁻³
! V = 33.5 Å³ per atom
&SYSTEM
  ibrav = 0, nat = 22, ntyp = 3
/
ATOMIC_SPECIES
Pm 145.00 Pm.upf
Y 88.91 Y.upf
Er 167.26 Er.upf
CELL_PARAMETERS angstrom
5.848 0.000 0.000
-2.924 4.866 0.000
0.000 0.000 25.875
ATOMIC_POSITIONS crystal
Pm 0.500 0.000 0.000
Pm 0.500 0.000 0.500
Pm 0.127 0.253 0.317
Pm 0.873 0.747 0.683
Pm 0.873 0.747 0.817
Pm 0.127 0.253 0.183
Pm 0.802 0.605 0.397
Pm 0.198 0.395 0.603
Pm 0.198 0.395 0.897
Pm 0.802 0.605 0.103
Pm 0.453 0.906 0.250
Pm 0.547 0.094 0.750
Y 0.849 0.698 0.544
Y 0.461 0.922 0.124
Y 0.151 0.302 0.456
Y 0.539 0.078 0.876
Y 0.849 0.698 0.956
Y 0.151 0.302 0.044
Y 0.539 0.078 0.624
Y 0.461 0.922 0.376
Er 0.791 0.581 0.250
Er 0.209 0.419 0.750

=====

No. 9
! LiPdBr (PBE, relaxed); values from VASP
! E above lowest polymorph = 117.5 meV/atom
! DOS at the Fermi energy = 0.27 states/eV/f.u.
! ρ = 5.80 g cm⁻³
! ΔE_f (raw) = -0.522 eV/atom
! V = 18.4 Å³ per atom
&SYSTEM
  ibrav = 0, nat = 12, ntyp = 3
/
ATOMIC_SPECIES
Br 79.90 Br.upf
Pd 106.42 Pd.upf
Li 6.94 Li.upf
CELL_PARAMETERS angstrom
-5.276 -3.840 3.153
1.702 0.172 3.058
-4.216 7.380 1.932
ATOMIC_POSITIONS crystal
Br 0.827 0.250 0.357
Br 0.673 0.750 0.857
Br 0.173 0.750 0.643
Br 0.327 0.250 0.143
Pd 0.369 0.250 0.434
Pd 0.131 0.750 0.934
Pd 0.631 0.750 0.566
Pd 0.869 0.250 0.066
Li 0.910 0.250 0.740
Li 0.590 0.750 0.240
Li 0.090 0.750 0.260
Li 0.410 0.250 0.760

=====

No. 10
! FeCoW2 (PBE, relaxed); values from VASP
! E above lowest polymorph = 613.3 meV/atom
! DOS at the Fermi energy = 3.07 states/eV/f.u.
! Energy relative to the elements = 0.71 eV/atom
! ρ = 14.05 g cm⁻³
! V = 14.3 Å³ per atom
&SYSTEM
  ibrav = 0, nat = 8, ntyp = 3
/
ATOMIC_SPECIES
Co 58.93 Co.upf
Fe 55.84 Fe.upf
W 183.84 W.upf
CELL_PARAMETERS angstrom
6.580 0.000 0.000
0.000 6.580 0.000
3.290 3.290 2.634
ATOMIC_POSITIONS crystal
Co 0.000 0.000 0.000
Co 0.750 0.250 0.500
Fe 0.500 0.500 0.000
Fe 0.250 0.750 0.500
W 0.621 0.125 0.250
W 0.129 0.625 0.250
W 0.375 0.379 0.750
W 0.875 0.871 0.750

=====

No. 11
! Cs3LiPa2Te6 (PBE, relaxed); values from VASP
! DOS at the Fermi energy = 12.09 states/eV/f.u.
! ρ = 5.54 g cm⁻³
! ΔE_f (raw) = -0.993 eV/atom
! V = 40.8 Å³ per atom
&SYSTEM
  ibrav = 0, nat = 12, ntyp = 4
/
ATOMIC_SPECIES
Cs 132.91 Cs.upf
Li 6.94 Li.upf
Pa 231.04 Pa.upf
Te 127.60 Te.upf
CELL_PARAMETERS angstrom
-1.590 6.355 4.566
-2.427 -7.262 2.267
8.978 -0.902 2.073
ATOMIC_POSITIONS crystal
Cs 0.162 0.838 0.500
Cs 0.838 0.162 0.500
Cs 0.500 0.500 0.500
Li 0.000 0.000 0.000
Pa 0.333 0.667 0.000
Pa 0.667 0.333 0.000
Te 0.937 0.592 0.811
Te 0.719 0.719 0.186
Te 0.063 0.408 0.189
Te 0.592 0.937 0.811
Te 0.281 0.281 0.814
Te 0.408 0.063 0.189

=====

No. 12
! Sm2DySc (PBE, relaxed); values from VASP
! E above lowest polymorph = 5.3 meV/atom
! DOS at the Fermi energy = 6.19 states/eV/f.u.
! Energy relative to the elements = 0.04 eV/atom
! ρ = 6.87 g cm⁻³
! V = 30.7 Å³ per atom
&SYSTEM
  ibrav = 0, nat = 4, ntyp = 3
/
ATOMIC_SPECIES
Sc 44.96 Sc.upf
Sm 150.36 Sm.upf
Dy 162.50 Dy.upf
CELL_PARAMETERS angstrom
3.557 0.000 0.000
0.000 3.557 0.000
0.000 0.000 9.715
ATOMIC_POSITIONS crystal
Sc 0.500 0.500 0.000
Sm 0.000 0.000 0.761
Sm 0.000 0.000 0.239
Dy 0.500 0.500 0.500